NaSrCa2Tl: relaxed, GGA-PBE.

Values from the calculation:
space-group type	No. 123
ΔE_f	0.0117	eV per atom
calculated density	2.94	Mg/m³
ΔE to the lowest computed polymorph	40	meV/atom

a = 6.105 Å, b = 6.105 Å, c = 5.981 Å
α = 90.00°, β = 90.00°, γ = 90.00°
Element x y z (fractional)
Sr: 0.500 0.500 0.500
Tl: 0.000 0.000 0.000
Ca: 0.000 0.500 0.000
Ca: 0.500 0.000 0.000
Na: 0.000 0.000 0.500